[1]
The following is a DFT calculation (PBE) of an optimized crystal structure of PuCdHg.

Computed properties:
**E**: -16.0 eV/cell
**Space-group type**: P-6m2

a b c (Å): 5.1506 5.1506 3.1016
angles (deg): 90.00 90.00 120.00
Sites, in units of the cell vectors:
Pu (0.0000, 0.0000, 0.0000)
Cd (0.6667, 0.3333, 0.5000)
Hg (0.3333, 0.6667, 0.5000)


[2]
The following is a DFT calculation (PBE) of an optimized crystal structure of RbCdHg.

Computed properties:
**E**: -2.3 eV/cell
**E above lowest polymorph**: 117 meV per atom
**Space-group type**: F-43m

a b c (Å): 5.6282 5.6282 5.6282
angles (deg): 60.00 60.00 60.00
Sites, in units of the cell vectors:
Rb (0.0000, 0.0000, 0.0000)
Cd (0.5000, 0.5000, 0.5000)
Hg (0.7500, 0.7500, 0.7500)


[3]
The following is a DFT calculation (PBE) of an optimized crystal structure of RbCdHg.

Computed properties:
**E**: -5.3 eV/cell
**E above lowest polymorph**: 0 meV per atom
**Space-group type**: Imm2

a b c (Å): 6.7937 6.7937 6.7937
angles (deg): 133.59 101.37 96.51
Sites, in units of the cell vectors:
Rb (0.0000, 0.0000, 0.0000)
Rb (0.6158, 0.1158, 0.5000)
Cd (0.0443, 0.7225, 0.3218)
Cd (0.4006, 0.7225, 0.6782)
Hg (0.2064, 0.3955, 0.8110)
Hg (0.5845, 0.3955, 0.1890)


[4]
The following is a DFT calculation (PBE) of an optimized crystal structure of Rb2Cd3Hg.

Computed properties:
**E**: -5.6 eV/cell
**Space-group type**: Cm

a b c (Å): 6.7383 6.7383 8.5621
angles (deg): 129.11 129.11 46.72
Sites, in units of the cell vectors:
Rb (0.0000, 0.0000, 0.0000)
Rb (0.1174, 0.1174, 0.6193)
Cd (0.3933, 0.3933, 0.5741)
Cd (0.3973, 0.3973, 0.2182)
Cd (0.7231, 0.7231, 0.4056)
Hg (0.7206, 0.7206, 0.0359)


[5]
The following is a DFT calculation (PBE) of an optimized crystal structure of RbCdHg.

Computed properties:
**E**: -5.3 eV/cell
**E above lowest polymorph**: 1 meV per atom
**Space-group type**: Ima2

a b c (Å): 6.8005 6.8005 6.8005
angles (deg): 133.27 96.29 101.83
Sites, in units of the cell vectors:
Rb (0.1923, 0.2500, 0.4423)
Rb (0.8077, 0.7500, 0.5577)
Cd (0.5972, 0.9298, 0.1674)
Cd (0.7624, 0.4298, 0.8326)
Hg (0.2224, 0.5652, 0.1572)
Hg (0.4079, 0.0652, 0.8428)


[6]
The following is a DFT calculation (PBE) of an optimized crystal structure of Rb2CdHg.

Computed properties:
**E**: -7.4 eV/cell
**E above lowest polymorph**: 4 meV per atom
**Space-group type**: P-1

a b c (Å): 7.0130 7.1636 7.4599
angles (deg): 105.77 103.44 92.16
Sites, in units of the cell vectors:
Rb (0.1620, 0.2891, 0.1470)
Rb (0.2573, 0.8407, 0.5251)
Rb (0.7427, 0.1593, 0.4749)
Rb (0.8380, 0.7109, 0.8530)
Cd (0.3178, 0.4087, 0.7316)
Cd (0.6822, 0.5913, 0.2684)
Hg (0.3927, 0.8011, 0.0434)
Hg (0.6073, 0.1989, 0.9566)


[7]
The following is a DFT calculation (PBE) of an optimized crystal structure of Rb2CdHg.

Computed properties:
**E**: -7.4 eV/cell
**E above lowest polymorph**: 0 meV per atom
**Space-group type**: P-1

a b c (Å): 7.0205 7.0365 7.4874
angles (deg): 103.16 104.32 93.83
Sites, in units of the cell vectors:
Rb (0.1611, 0.2505, 0.4806)
Rb (0.3019, 0.6617, 0.1525)
Rb (0.6981, 0.3383, 0.8475)
Rb (0.8389, 0.7495, 0.5194)
Cd (0.1979, 0.0947, 0.9633)
Cd (0.8021, 0.9053, 0.0367)
Hg (0.4029, 0.8093, 0.7253)
Hg (0.5971, 0.1907, 0.2747)


[8]
The following is a DFT calculation (PBE) of an optimized crystal structure of RbCdHg.

Computed properties:
**E**: -5.3 eV/cell
**E above lowest polymorph**: 0 meV per atom
**Space-group type**: C2/m

a b c (Å): 6.7491 6.7491 8.5692
angles (deg): 128.59 128.59 46.79
Sites, in units of the cell vectors:
Rb (0.0581, 0.0581, 0.3110)
Rb (0.9419, 0.9419, 0.6890)
Cd (0.3376, 0.3376, 0.9070)
Cd (0.6624, 0.6624, 0.0930)
Hg (0.3340, 0.3340, 0.2677)
Hg (0.6660, 0.6660, 0.7323)


[9]
The following is a DFT calculation (PBE) of an optimized crystal structure of Rb2CdHgSb2.

Computed properties:
**E**: -13.7 eV/cell
**Space-group type**: P-6m2

a b c (Å): 4.8965 4.8965 11.1359
angles (deg): 90.00 90.00 120.00
Sites, in units of the cell vectors:
Rb (0.0000, 0.0000, 0.2501)
Rb (0.0000, 0.0000, 0.7499)
Cd (0.3333, 0.6667, 0.0000)
Hg (0.6667, 0.3333, 0.5000)
Sb (0.3333, 0.6667, 0.5000)
Sb (0.6667, 0.3333, 0.0000)


[10]
The following is a DFT calculation (PBE) of an optimized crystal structure of CdRe2Hg.

Computed properties:
**E**: -22.4 eV/cell
**Space-group type**: F-43m

a b c (Å): 4.6062 4.6062 4.6062
angles (deg): 60.00 60.00 60.00
Sites, in units of the cell vectors:
Cd (0.0000, 0.0000, 0.0000)
Re (0.2500, 0.2500, 0.2500)
Re (0.5000, 0.5000, 0.5000)
Hg (0.7500, 0.7500, 0.7500)


[11]
The following is a DFT calculation (PBE) of an optimized crystal structure of CdReHg.

Computed properties:
**E**: -9.9 eV/cell
**Space-group type**: F-43m

a b c (Å): 4.6010 4.6010 4.6010
angles (deg): 60.00 60.00 60.00
Sites, in units of the cell vectors:
Cd (0.0000, 0.0000, 0.0000)
Re (0.2500, 0.2500, 0.2500)
Hg (0.5000, 0.5000, 0.5000)


[12]
The following is a DFT calculation (PBE) of an optimized crystal structure of CdSnHgS3.

Computed properties:
**E**: -37.7 eV/cell
**E above lowest polymorph**: 0 meV per atom
**Space-group type**: Cmcm

a b c (Å): 7.0055 7.0055 11.9162
angles (deg): 90.00 90.00 147.84
Sites, in units of the cell vectors:
Cd (0.0162, 0.9838, 0.7500)
Cd (0.9838, 0.0162, 0.2500)
Sn (0.2903, 0.7097, 0.7500)
Sn (0.7097, 0.2903, 0.2500)
Hg (0.5000, 0.5000, 0.0000)
Hg (0.5000, 0.5000, 0.5000)
S (0.1125, 0.8875, 0.0906)
S (0.1125, 0.8875, 0.4094)
S (0.3597, 0.6403, 0.2500)
S (0.6403, 0.3597, 0.7500)
S (0.8875, 0.1125, 0.5906)
S (0.8875, 0.1125, 0.9094)


[13]
The following is a DFT calculation (PBE) of an optimized crystal structure of CdSnHgS3.

Computed properties:
**E**: -37.4 eV/cell
**E above lowest polymorph**: 24 meV per atom
**Space-group type**: Cmcm

a b c (Å): 6.8771 6.8771 11.2860
angles (deg): 90.00 90.00 147.02
Sites, in units of the cell vectors:
Cd (0.0000, 0.0000, 0.0000)
Cd (0.0000, 0.0000, 0.5000)
Sn (0.2367, 0.7633, 0.7500)
Sn (0.7633, 0.2367, 0.2500)
Hg (0.4796, 0.5204, 0.2500)
Hg (0.5204, 0.4796, 0.7500)
S (0.1163, 0.8837, 0.2500)
S (0.3704, 0.6296, 0.0663)
S (0.3704, 0.6296, 0.4337)
S (0.6296, 0.3704, 0.5663)
S (0.6296, 0.3704, 0.9337)
S (0.8837, 0.1163, 0.7500)


[14]
The following is a DFT calculation (PBE) of an optimized crystal structure of SrCdHgS3.

Computed properties:
**E**: -40.0 eV/cell
**E above lowest polymorph**: 12 meV per atom
**Space-group type**: Cmcm

a b c (Å): 7.0808 7.0808 11.1955
angles (deg): 90.00 90.00 147.15
Sites, in units of the cell vectors:
Sr (0.2243, 0.7757, 0.7500)
Sr (0.7757, 0.2243, 0.2500)
Cd (0.4984, 0.5016, 0.7500)
Cd (0.5016, 0.4984, 0.2500)
Hg (0.0000, 0.0000, 0.0000)
Hg (0.0000, 0.0000, 0.5000)
S (0.1164, 0.8836, 0.2500)
S (0.3777, 0.6223, 0.0754)
S (0.3777, 0.6223, 0.4246)
S (0.6223, 0.3777, 0.5754)
S (0.6223, 0.3777, 0.9246)
S (0.8836, 0.1164, 0.7500)


[15]
The following is a DFT calculation (PBE) of an optimized crystal structure of SrCdHgS3.

Computed properties:
**E**: -40.2 eV/cell
**E above lowest polymorph**: 0 meV per atom
**Space-group type**: Cmcm

a b c (Å): 7.0255 7.0255 11.0072
angles (deg): 90.00 90.00 146.83
Sites, in units of the cell vectors:
Sr (0.2267, 0.7733, 0.7500)
Sr (0.7733, 0.2267, 0.2500)
Cd (0.0000, 0.0000, 0.0000)
Cd (0.0000, 0.0000, 0.5000)
Hg (0.4927, 0.5073, 0.2500)
Hg (0.5073, 0.4927, 0.7500)
S (0.1116, 0.8884, 0.2500)
S (0.3730, 0.6270, 0.0680)
S (0.3730, 0.6270, 0.4320)
S (0.6270, 0.3730, 0.5680)
S (0.6270, 0.3730, 0.9320)
S (0.8884, 0.1116, 0.7500)


[16]
The following is a DFT calculation (PBE) of an optimized crystal structure of Cd2HgSb.

Computed properties:
**E**: -5.7 eV/cell
**Space-group type**: F-43m

a b c (Å): 5.2031 5.2031 5.2031
angles (deg): 60.00 60.00 60.00
Sites, in units of the cell vectors:
Cd (0.0000, 0.0000, 0.0000)
Cd (0.2500, 0.2500, 0.2500)
Hg (0.7500, 0.7500, 0.7500)
Sb (0.5000, 0.5000, 0.5000)


[17]
The following is a DFT calculation (PBE) of an optimized crystal structure of CdHgSb.

Computed properties:
**E**: -5.0 eV/cell
**Space-group type**: F-43m

a b c (Å): 5.0019 5.0019 5.0019
angles (deg): 60.00 60.00 60.00
Sites, in units of the cell vectors:
Cd (0.0000, 0.0000, 0.0000)
Hg (0.5000, 0.5000, 0.5000)
Sb (0.2500, 0.2500, 0.2500)


[18]
The following is a DFT calculation (PBE) of an optimized crystal structure of CdHgSb2.

Computed properties:
**E**: -8.8 eV/cell
**Space-group type**: F-43m

a b c (Å): 5.2920 5.2920 5.2920
angles (deg): 60.00 60.00 60.00
Sites, in units of the cell vectors:
Cd (0.0000, 0.0000, 0.0000)
Hg (0.2500, 0.2500, 0.2500)
Sb (0.5000, 0.5000, 0.5000)
Sb (0.7500, 0.7500, 0.7500)


[19]
The following is a DFT calculation (PBE) of an optimized crystal structure of Sc2CdHg2.

Computed properties:
**E**: -14.1 eV/cell
**E above lowest polymorph**: 0 meV per atom
**Space-group type**: I4/mmm

a b c (Å): 6.9993 6.9993 6.9993
angles (deg): 142.45 142.45 54.15
Sites, in units of the cell vectors:
Sc (0.2500, 0.7500, 0.5000)
Sc (0.7500, 0.2500, 0.5000)
Cd (0.0000, 0.0000, 0.0000)
Hg (0.3920, 0.3920, 0.0000)
Hg (0.6080, 0.6080, 0.0000)


[20]
The following is a DFT calculation (PBE) of an optimized crystal structure of Sc2Cd2Hg.

Computed properties:
**E**: -14.0 eV/cell
**Space-group type**: I4/mmm

a b c (Å): 7.2245 7.2245 7.2245
angles (deg): 144.85 144.85 50.56
Sites, in units of the cell vectors:
Sc (0.2500, 0.7500, 0.5000)
Sc (0.7500, 0.2500, 0.5000)
Cd (0.1005, 0.1005, 0.0000)
Cd (0.8995, 0.8995, 0.0000)
Hg (0.5000, 0.5000, 0.0000)


[21]
The following is a DFT calculation (PBE) of an optimized crystal structure of Sc2CdHg2.

Computed properties:
**E**: -13.8 eV/cell
**E above lowest polymorph**: 55 meV per atom
**Space-group type**: I4/mmm

a b c (Å): 7.3172 7.3172 7.3172
angles (deg): 145.95 145.95 48.92
Sites, in units of the cell vectors:
Sc (0.1051, 0.1051, 0.0000)
Sc (0.8949, 0.8949, 0.0000)
Cd (0.5000, 0.5000, 0.0000)
Hg (0.2500, 0.7500, 0.5000)
Hg (0.7500, 0.2500, 0.5000)


[22]
The following is a DFT calculation (PBE) of an optimized crystal structure of ScCdHg2.

Computed properties:
**E**: -17.6 eV/cell
**Space-group type**: Imma

a b c (Å): 6.1823 6.1823 6.1823
angles (deg): 115.13 98.34 115.49
Sites, in units of the cell vectors:
Sc (0.2507, 0.0007, 0.2500)
Sc (0.7493, 0.9993, 0.7500)
Cd (0.2501, 0.5001, 0.7500)
Cd (0.7499, 0.4999, 0.2500)
Hg (0.2496, 0.0000, 0.7496)
Hg (0.2496, 0.5000, 0.2496)
Hg (0.7504, 0.0000, 0.2504)
Hg (0.7504, 0.5000, 0.7504)


[23]
The following is a DFT calculation (PBE) of an optimized crystal structure of ScCdHg2.

Computed properties:
**E**: -17.8 eV/cell
**Space-group type**: Pmmn

a b c (Å): 4.9760 6.9381 4.9762
angles (deg): 90.00 90.00 90.00
Sites, in units of the cell vectors:
Sc (0.2500, 0.2500, 0.2493)
Sc (0.7500, 0.7500, 0.7507)
Cd (0.2500, 0.7500, 0.2483)
Cd (0.7500, 0.2500, 0.7517)
Hg (0.2500, 0.0000, 0.7488)
Hg (0.2500, 0.5000, 0.7488)
Hg (0.7500, 0.0000, 0.2512)
Hg (0.7500, 0.5000, 0.2512)


[24]
The following is a DFT calculation (PBE) of an optimized crystal structure of Sc3CdHg2.

Computed properties:
**E**: -22.8 eV/cell
**Space-group type**: P4/mmm

a b c (Å): 3.5306 3.5306 10.5318
angles (deg): 90.00 90.00 90.00
Sites, in units of the cell vectors:
Sc (0.0000, 0.0000, 0.0000)
Sc (0.0000, 0.0000, 0.3312)
Sc (0.0000, 0.0000, 0.6688)
Cd (0.5000, 0.5000, 0.5000)
Hg (0.5000, 0.5000, 0.1691)
Hg (0.5000, 0.5000, 0.8309)


[25]
The following is a DFT calculation (PBE) of an optimized crystal structure of ScCdHg.

Computed properties:
**E**: -7.9 eV/cell
**Space-group type**: F-43m

a b c (Å): 4.7207 4.7207 4.7207
angles (deg): 60.00 60.00 60.00
Sites, in units of the cell vectors:
Sc (0.0000, 0.0000, 0.0000)
Cd (0.5000, 0.5000, 0.5000)
Hg (0.7500, 0.7500, 0.7500)


[26]
The following is a DFT calculation (PBE) of an optimized crystal structure of ScCdHg.

Computed properties:
**E**: -7.4 eV/cell
**Space-group type**: F-43m

a b c (Å): 4.7830 4.7830 4.7830
angles (deg): 60.00 60.00 60.00
Sites, in units of the cell vectors:
Sc (0.0000, 0.0000, 0.0000)
Cd (0.7500, 0.7500, 0.7500)
Hg (0.2500, 0.2500, 0.2500)